1.
Density functional theory data (GGA-PBE) for crystalline NaCd2BiBr at its relaxed geometry.

Lattice parameters (Å, degrees): 5.9504 6.0329 5.9504 90.00 90.00 90.00
Positions (direct):
Na 0.5000 0.5000 0.5000
Bi 0.0000 0.0000 0.0000
Br 0.0000 0.5000 0.0000
Cd 0.0000 0.0000 0.5000
Cd 0.5000 0.0000 0.0000

Output
**Magnetization**: 0.00 μB/f.u.
**Energy**: -8.9 eV for the cell shown
**Uncorrected formation energy**: -0.033 eV per atom

***

2.
Density functional theory data (GGA-PBE) for crystalline Ga2CuTc at its relaxed geometry.

Lattice parameters (Å, degrees): 3.2429 4.1526 4.1526 90.00 90.00 90.00
Positions (direct):
Cu 0.5000 0.0000 0.0000
Tc 0.5000 0.5000 0.5000
Ga 0.0000 0.0000 0.5000
Ga 0.0000 0.5000 0.0000

Output
**Energy of formation from the pure elements**: -0.12 eV/atom
**Magnetization**: 0.00 μB/f.u.
**Excess energy over the best structure of this formula in the dataset**: 0 meV/atom
**Energy**: -21.0 eV for the cell shown

***

3.
Density functional theory data (GGA-PBE) for crystalline Tb2TmRh9 at its relaxed geometry.

Lattice parameters (Å, degrees): 5.2460 5.2460 9.3069 73.63 73.63 60.00
Positions (direct):
Tb 0.8614 0.8614 0.4159
Tb 0.1386 0.1386 0.5841
Tm 0.0000 0.0000 0.0000
Rh 0.6670 0.6670 0.9990
Rh 0.3330 0.3330 0.0010
Rh 0.5000 0.5000 0.5000
Rh 0.4176 0.4176 0.2469
Rh 0.9179 0.4176 0.2469
Rh 0.4176 0.9179 0.2469
Rh 0.5824 0.5824 0.7531
Rh 0.5824 0.0821 0.7531
Rh 0.0821 0.5824 0.7531

Output
**Energy of formation from the pure elements**: -0.56 eV/atom
**Magnetization**: 0.00 μB/f.u.
**Energy**: -86.6 eV for the cell shown

***

4.
Density functional theory data (GGA-PBE) for crystalline LiNbAu3 at its relaxed geometry.

Lattice parameters (Å, degrees): 4.4605 4.4605 4.4605 90.00 90.00 90.00
Each line ends with the local moment (μB).
Positions (direct):
Nb 0.5000 0.5000 0.5000  1.62
Au 0.0000 0.5000 0.0000  0.03
Au 0.0000 0.0000 0.5000  0.04
Au 0.5000 0.0000 0.0000  0.08
Li 0.0000 0.0000 0.0000  -0.02

Output
**Energy of formation from the pure elements**: 0.37 eV/atom
**Magnetization**: 2.15 μB/f.u.
**Excess energy over the best structure of this formula in the dataset**: 0 meV/atom
**Energy**: -20.0 eV for the cell shown

***

5.
Density functional theory data (GGA-PBE) for crystalline Ca2CePrSb4 at its relaxed geometry.

Lattice parameters (Å, degrees): 4.5564 7.9182 7.7442 109.91 90.00 90.00
Positions (direct):
Ca 0.5000 0.0000 0.5000
Ca 0.0000 0.5000 0.5000
Ce 0.0000 0.0000 0.0000
Pr 0.5000 0.5000 0.0000
Sb 0.5000 0.2413 0.2403
Sb 0.5000 0.7587 0.7597
Sb 0.0000 0.2464 0.7550
Sb 0.0000 0.7536 0.2450

Output
**Magnetization**: 0.00 μB/f.u.
**Energy**: -38.9 eV for the cell shown
**Uncorrected formation energy**: -0.961 eV per atom

***

6.
Density functional theory data (GGA-PBE) for crystalline NbPdS at its relaxed geometry.

Lattice parameters (Å, degrees): 3.1647 6.0009 6.3465 61.39 75.56 74.71
Positions (direct):
S 0.3208 0.6612 0.6972
S 0.6792 0.3388 0.3028
Pd 0.9356 0.8045 0.3242
Pd 0.0644 0.1955 0.6758
Nb 0.3584 0.2379 0.0453
Nb 0.6416 0.7621 0.9547

Output
**Magnetization**: 0.00 μB/f.u.
**Excess energy over the best structure of this formula in the dataset**: 87 meV/atom
**Energy**: -41.6 eV for the cell shown
**Uncorrected formation energy**: -0.477 eV per atom

***

7.
Density functional theory data (GGA-PBE) for crystalline Rb2NCl at its relaxed geometry.

Lattice parameters (Å, degrees): 6.7778 6.7778 9.1055 68.15 68.15 90.00
Each line ends with the local moment (μB).
Positions (direct):
N 0.5000 0.5000 0.0000  1.18
N 0.2500 0.7500 0.5000  1.18
Rb 0.5908 0.1250 0.2500  0.01
Rb 0.1592 0.6250 0.2500  0.01
Rb 0.3750 0.4092 0.7500  0.01
Rb 0.8750 0.8408 0.7500  0.01
Cl 0.0000 0.0000 0.0000  0.00
Cl 0.7500 0.2500 0.5000  0.00

Output
**Magnetization**: 2.00 μB/f.u.
**Excess energy over the best structure of this formula in the dataset**: 0 meV/atom
**Energy**: -25.6 eV for the cell shown
**Uncorrected formation energy**: -0.179 eV per atom

***

8.
Density functional theory data (GGA-PBE) for crystalline MoRuRh2 at its relaxed geometry.

Lattice parameters (Å, degrees): 4.7596 4.7596 4.7236 80.45 80.45 33.33
Positions (direct):
Mo 0.2500 0.2500 0.2500
Rh 0.0011 0.0011 0.9981
Rh 0.4989 0.4989 0.5019
Ru 0.7500 0.7500 0.7500

Output
**Energy of formation from the pure elements**: -0.03 eV/atom
**Magnetization**: 0.00 μB/f.u.
**Excess energy over the best structure of this formula in the dataset**: 176 meV/atom
**Energy**: -34.9 eV for the cell shown

***

9.
Density functional theory data (GGA-PBE) for crystalline NiAsRu2 at its relaxed geometry.

Lattice parameters (Å, degrees): 5.1403 5.1403 5.1403 147.15 130.39 60.79
Positions (direct):
As 0.2500 0.7500 0.5000
Ni 0.7500 0.2500 0.5000
Ru 0.0335 0.0335 0.0000
Ru 0.4665 0.4665 0.0000

Output
**Energy of formation from the pure elements**: 0.12 eV/atom
**Magnetization**: 0.00 μB/f.u.
**Energy**: -28.5 eV for the cell shown

***

10.
Density functional theory data (GGA-PBE) for crystalline Pr2Ho12Th5 at its relaxed geometry.

Lattice parameters (Å, degrees): 11.6040 10.3807 9.3991 128.49 90.00 123.98
Positions (direct):
Pr 0.7148 0.0000 0.0000
Pr 0.2852 0.0000 0.0000
Ho 0.1090 0.2180 0.2917
Ho 0.1551 0.7984 0.2033
Ho 0.6433 0.7984 0.2033
Ho 0.0538 0.5878 0.3930
Ho 0.5340 0.5878 0.3930
Ho 0.4325 0.8650 0.6448
Ho 0.5675 0.1350 0.3552
Ho 0.9462 0.4122 0.6070
Ho 0.4660 0.4122 0.6070
Ho 0.8449 0.2016 0.7967
Ho 0.3567 0.2016 0.7967
Ho 0.8910 0.7820 0.7083
Th 0.2956 0.5911 0.8414
Th 0.2260 0.4520 0.0851
Th 0.0000 0.0000 0.5000
Th 0.7740 0.5480 0.9149
Th 0.7044 0.4089 0.1586

Output
**Energy of formation from the pure elements**: 0.16 eV/atom
**Magnetization**: 0.00 μB/f.u.
**Excess energy over the best structure of this formula in the dataset**: 0 meV/atom
**Energy**: -98.5 eV for the cell shown

***

11.
Density functional theory data (GGA-PBE) for crystalline Ce2VS6 at its relaxed geometry.

Lattice parameters (Å, degrees): 6.1557 6.1557 11.6992 90.00 90.00 90.00
Each line ends with the local moment (μB).
Positions (direct):
Ce 0.0000 0.0000 0.3266  0.15
Ce 0.5000 0.5000 0.8266  0.15
Ce 0.5000 0.5000 0.1734  0.15
Ce 0.0000 0.0000 0.6734  0.15
V 0.0000 0.0000 0.0000  1.02
V 0.5000 0.5000 0.5000  1.02
S 0.3112 0.3112 0.3579  -0.05
S 0.6888 0.6888 0.3579  -0.05
S 0.1888 0.8112 0.8579  -0.05
S 0.8112 0.1888 0.8579  -0.05
S 0.1888 0.8112 0.1421  -0.05
S 0.8112 0.1888 0.1421  -0.05
S 0.3112 0.3112 0.6421  -0.05
S 0.6888 0.6888 0.6421  -0.05
S 0.2885 0.2885 0.0000  -0.05
S 0.7115 0.7115 0.0000  -0.05
S 0.2115 0.7885 0.5000  -0.05
S 0.7885 0.2115 0.5000  -0.05

Output
**Magnetization**: 1.05 μB/f.u.
**Energy**: -113.9 eV for the cell shown
**Uncorrected formation energy**: -1.243 eV per atom